[1]
# PBE TmSi2Pt4, optimized geometry
# * volume: 459.9 Å³/cell
# * formation energy from raw total energies: -0.92 eV/atom
# * total magnetization: 0.00 μB per formula unit
data_TmSi2Pt4
_chemical_formula_sum 'Tm4 Si8 Pt16'
_symmetry_space_group_name_H-M 'P n m a'
_symmetry_Int_Tables_number 62
_cell_length_a 16.774
_cell_length_b 4.178
_cell_length_c 6.562
_cell_angle_alpha 90.00
_cell_angle_beta 90.00
_cell_angle_gamma 90.00
loop_
_symmetry_equiv_pos_as_xyz
'x,y,z'
'-x,-y,-z'
'-x+1/2,-y,z+1/2'
'x+1/2,y,-z+1/2'
'x+1/2,-y+1/2,-z+1/2'
'-x+1/2,y+1/2,z+1/2'
'-x,y+1/2,-z'
'x,-y+1/2,z'
loop_
_atom_site_label
_atom_site_fract_x
_atom_site_fract_y
_atom_site_fract_z
Tm1 0.141 0.250 0.046
Si1 0.039 0.750 0.247
Si2 0.210 0.250 0.603
Pt1 0.033 0.750 0.861
Pt2 0.068 0.250 0.510
Pt3 0.173 0.750 0.372
Pt4 0.213 0.750 0.797



[2]
# PBE CaRuPt2, optimized geometry
# * volume: 136.1 Å³/cell
# * total magnetization: 0.00 μB per formula unit
# * formation enthalpy at 0 K: -0.425 eV per formula unit
# * energy above the most stable polymorph in this dataset: 0.153 eV per atom
data_CaRuPt2
_chemical_formula_sum 'Ca2 Ru2 Pt4'
_symmetry_space_group_name_H-M 'I 4/m m m'
_symmetry_Int_Tables_number 139
_symmetry_space_group_name_Hall '-I 4 2'
_cell_length_a 4.098
_cell_length_b 4.098
_cell_length_c 8.108
_cell_angle_alpha 90.00
_cell_angle_beta 90.00
_cell_angle_gamma 90.00
loop_
_atom_site_label
_atom_site_fract_x
_atom_site_fract_y
_atom_site_fract_z
Ca1 0.000 0.000 0.000
Ru1 0.000 0.000 0.500
Pt1 0.000 0.500 0.250



[3]
# PBE MgScGa2Pt4, optimized geometry
# * volume: 383.6 Å³/cell
# * total magnetization: 0.00 μB per formula unit
# * formation enthalpy at 0 K: -6.711 eV per formula unit
data_MgScGa2Pt4
_chemical_formula_sum 'Mg3 Sc3 Ga6 Pt12'
_symmetry_space_group_name_H-M 'R -3 m'
_symmetry_Int_Tables_number 166
_symmetry_space_group_name_Hall '-R 3 2"'
_cell_length_a 4.4889
_cell_length_b 4.4889
_cell_length_c 21.9810
_cell_angle_alpha 90.00
_cell_angle_beta 90.00
_cell_angle_gamma 120.00
loop_
_atom_site_label
_atom_site_fract_x
_atom_site_fract_y
_atom_site_fract_z
Mg1 0.0000 0.0000 0.0000
Sc1 0.0000 0.0000 0.5000
Ga1 0.0000 0.0000 0.2510
Pt1 0.0000 0.0000 0.1249
Pt2 0.0000 0.0000 0.3748



[4]
# PBE Sr2MgSnO5, optimized geometry
# * volume: 521.4 Å³/cell
# * formation energy from raw total energies: -2.37 eV/atom
# * total magnetization: 0.00 μB per formula unit
data_Sr2MgSnO5
_chemical_formula_sum 'Sr8 Mg4 Sn4 O20'
_symmetry_space_group_name_H-M 'C m c 21'
_symmetry_Int_Tables_number 36
_cell_length_a 3.373
_cell_length_b 13.639
_cell_length_c 11.334
_cell_angle_alpha 90.00
_cell_angle_beta 90.00
_cell_angle_gamma 90.00
loop_
_symmetry_equiv_pos_as_xyz
'x,y,z'
'-x,-y,z+1/2'
'-x,y,z'
'x,-y,z+1/2'
'x+1/2,y+1/2,z'
'-x+1/2,-y+1/2,z+1/2'
'-x+1/2,y+1/2,z'
'x+1/2,-y+1/2,z+1/2'
loop_
_atom_site_label
_atom_site_fract_x
_atom_site_fract_y
_atom_site_fract_z
Sr1 0.000 0.086 0.000
Sr2 0.000 0.139 0.637
Mg1 0.000 0.460 0.778
Sn1 0.000 0.218 0.356
O1 0.000 0.065 0.367
O2 0.000 0.272 0.983
O3 0.000 0.304 0.740
O4 0.000 0.368 0.329
O5 0.000 0.495 0.115